(1)
ZrMo2C | GGA-PBE | optimized geometry

Values from the calculation:
Energy of formation: 0.43 eV/atom
Total moment: 0.000 μB per cell
Density: 8322 kg/m3

Unit cell a=2.783 b=2.783 c=7.603 alpha=90.00 beta=90.00 gamma=90.00
Sites, in units of the cell vectors:
C: 0.500 0.500 0.750
Mo: 0.000 0.000 0.917
Mo: 0.000 0.000 0.583
Zr: 0.500 0.500 0.250

***

(2)
K2MgCdH6 | GGA-PBE | optimized geometry

Values from the calculation:
E_tot: -2.629 eV/atom
Total moment: 0.000 μB per cell
Density: 2744 kg/m3

Unit cell a=5.739 b=5.739 c=5.740 alpha=60.00 beta=60.00 gamma=90.00
Sites, in units of the cell vectors:
H: 0.754 0.754 0.493
H: 0.246 0.246 0.507
H: 0.246 0.246 0.000
H: 0.754 0.754 0.000
H: 0.246 0.754 0.000
H: 0.754 0.246 0.000
K: 0.750 0.250 0.500
K: 0.250 0.750 0.500
Mg: 0.000 0.000 0.000
Cd: 0.500 0.500 0.000

***

(3)
CeEr2MoN4 | GGA-PBE | optimized geometry

Values from the calculation:
E_form (uncorrected): -1182.5 meV per atom
Total moment: 1.123 μB per cell
Density: 8964 kg/m3

Unit cell a=3.385 b=6.107 c=11.687 alpha=90.00 beta=90.00 gamma=106.09
Each line ends with the local moment (μB).
Sites, in units of the cell vectors:
Er: 0.370 0.741 0.539  0.01
Er: 0.630 0.259 0.461  0.01
Er: 0.630 0.259 0.039  0.01
Er: 0.370 0.741 0.961  0.01
N: 0.264 0.527 0.377  0.00
N: 0.450 0.900 0.750  -0.01
N: 0.264 0.527 0.123  0.00
N: 0.000 0.000 0.000  0.00
N: 0.736 0.473 0.877  0.00
N: 0.000 0.000 0.500  0.00
N: 0.550 0.100 0.250  -0.01
N: 0.736 0.473 0.623  0.00
Ce: 0.105 0.211 0.750  0.42
Ce: 0.895 0.789 0.250  0.42
Mo: 0.845 0.690 0.750  0.07
Mo: 0.155 0.310 0.250  0.07

***

(4)
CaZrPb | GGA-PBE | optimized geometry

Values from the calculation:
Energy of formation: 0.04 eV/atom
Total moment: 0.015 μB per cell
Density: 6716 kg/m3

Unit cell a=5.257 b=5.257 c=3.497 alpha=90.00 beta=90.00 gamma=120.00
Sites, in units of the cell vectors:
Ca: 0.000 0.000 0.000
Zr: 0.333 0.667 0.499
Pb: 0.667 0.333 0.501

***

(5)
SrMoW | GGA-PBE | optimized geometry

Values from the calculation:
Energy of formation: 0.92 eV/atom
ΔE to the lowest computed polymorph: 169 meV per atom
Total moment: 0.000 μB per cell
Density: 9678 kg/m3

Unit cell a=7.996 b=7.776 c=2.999 alpha=83.20 beta=74.93 gamma=21.87
Sites, in units of the cell vectors:
W: 0.646 0.646 0.354
Sr: 0.334 0.334 0.666
Mo: 0.021 0.021 0.979

***

(6)
PmHg2 | GGA-PBE | optimized geometry

Values from the calculation:
Energy of formation: -0.45 eV/atom
ΔE to the lowest computed polymorph: 0 meV per atom
Total moment: 0.000 μB per cell
Density: 11654 kg/m3

Unit cell a=5.265 b=5.265 c=6.485 alpha=90.00 beta=90.00 gamma=120.01
Sites, in units of the cell vectors:
Hg: 0.000 0.500 0.000
Hg: 0.333 0.167 0.750
Hg: 0.000 0.500 0.500
Hg: 0.667 0.833 0.250
Pm: 0.667 0.833 0.750
Pm: 0.333 0.167 0.250

***

(7)
TmTaNi4 | GGA-PBE | optimized geometry

Values from the calculation:
Energy of formation: -0.26 eV/atom
Total moment: 0.000 μB per cell
Density: 11609 kg/m3

Unit cell a=4.909 b=4.909 c=4.909 alpha=60.00 beta=60.00 gamma=60.00
Sites, in units of the cell vectors:
Tm: 0.000 0.000 0.000
Ta: 0.250 0.250 0.250
Ni: 0.625 0.625 0.625
Ni: 0.625 0.625 0.126
Ni: 0.126 0.625 0.625
Ni: 0.625 0.126 0.625

***

(8)
SrSnPd2W | GGA-PBE | optimized geometry

Values from the calculation:
Energy of formation: 0.68 eV/atom
Total moment: 1.958 μB per cell
Density: 7616 kg/m3

Unit cell a=5.051 b=5.154 c=5.051 alpha=90.00 beta=90.00 gamma=90.00
Each line ends with the local moment (μB).
Sites, in units of the cell vectors:
Pd: 0.000 0.000 0.500  0.02
Pd: 0.500 0.000 0.000  -0.01
W: 0.000 0.500 0.000  1.42
Sn: 0.000 0.000 0.000  -0.04
Sr: 0.500 0.500 0.500  0.03

***

(9)
HS | GGA-PBE | optimized geometry

Values from the calculation:
ΔE to the lowest computed polymorph: 136 meV per atom
Total moment: 0.628 μB per cell
Density: 1354 kg/m3

Unit cell a=7.157 b=3.991 c=8.521 alpha=90.00 beta=90.00 gamma=90.00
Each line ends with the local moment (μB).
Sites, in units of the cell vectors:
S: 0.182 0.163 0.173  0.07
S: 0.682 0.837 0.673  0.07
S: 0.500 0.168 0.115  0.07
S: 0.818 0.163 0.173  0.07
S: 0.000 0.832 0.615  0.07
S: 0.318 0.837 0.673  0.07
H: 0.813 0.870 0.254  0.00
H: 0.187 0.870 0.254  0.00
H: 0.687 0.130 0.754  0.00
H: 0.313 0.130 0.754  0.00
H: 0.500 0.876 0.034  0.00
H: 0.000 0.124 0.534  0.00

***

(10)
PmPuTiN3 | GGA-PBE | optimized geometry

Values from the calculation:
E_form (uncorrected): -1197.8 meV per atom
Total moment: 9.991 μB per cell
Density: 8119 kg/m3

Unit cell a=3.541 b=7.185 c=7.741 alpha=95.88 beta=90.00 gamma=90.00
Each line ends with the local moment (μB).
Sites, in units of the cell vectors:
Ti: 0.250 0.109 0.597  0.03
Ti: 0.750 0.891 0.403  0.03
N: 0.250 0.835 0.498  -0.01
N: 0.750 0.165 0.502  -0.01
N: 0.250 0.593 0.878  -0.16
N: 0.250 0.112 0.850  -0.07
N: 0.750 0.407 0.122  -0.16
N: 0.750 0.888 0.150  -0.07
Pm: 0.750 0.842 0.837  0.09
Pm: 0.250 0.158 0.163  0.09
Pu: 0.750 0.372 0.834  4.85
Pu: 0.250 0.628 0.166  4.85

***

(11)
Na2BTeO4 | GGA-PBE | optimized geometry

Values from the calculation:
E_form (uncorrected): -1482.7 meV per atom
Total moment: 1.003 μB per cell
Density: 4138 kg/m3

Unit cell a=5.063 b=5.063 c=5.063 alpha=106.42 beta=111.02 gamma=111.02
Each line ends with the local moment (μB).
Sites, in units of the cell vectors:
O: 0.023 0.213 0.512  0.09
O: 0.701 0.488 0.511  0.09
O: 0.977 0.489 0.190  0.09
O: 0.299 0.810 0.787  0.09
Te: 0.500 0.250 0.750  0.31
B: 0.000 0.500 0.500  -0.01
Na: 0.000 0.000 0.000  0.00
Na: 0.500 0.750 0.250  0.01

***

(12)
Ti2Mn5AlB2 | GGA-PBE | optimized geometry

Values from the calculation:
Energy of formation: -0.41 eV/atom
Total moment: 13.758 μB per cell
Density: 6123 kg/m3

Unit cell a=3.012 b=8.686 c=8.686 alpha=90.00 beta=90.00 gamma=90.00
Each line ends with the local moment (μB).
Sites, in units of the cell vectors:
Mn: 0.500 0.220 0.069  1.72
Mn: 0.500 0.500 0.000  1.11
Mn: 0.500 0.931 0.220  1.72
Mn: 0.500 0.720 0.431  1.72
Mn: 0.500 0.000 0.500  1.11
Mn: 0.500 0.069 0.780  1.72
Mn: 0.500 0.569 0.720  1.72
Mn: 0.500 0.280 0.569  1.72
Mn: 0.500 0.780 0.931  1.72
Mn: 0.500 0.431 0.280  1.72
Ti: 0.000 0.174 0.326  -0.44
Ti: 0.000 0.326 0.826  -0.44
Ti: 0.000 0.674 0.174  -0.44
Ti: 0.000 0.826 0.674  -0.44
Al: 0.000 0.000 0.000  -0.03
Al: 0.000 0.500 0.500  -0.03
B: 0.000 0.622 0.878  -0.09
B: 0.000 0.878 0.378  -0.09
B: 0.000 0.378 0.122  -0.09
B: 0.000 0.122 0.622  -0.09